(1)
A relaxed structure of Mg2Br. Source: the Alexandria database, functional PBE.

As for the total energy: -24.68 eV for the cell shown.

It has space group Cmcm (No. 63), with a = 3.902 Å, b = 18.393 Å, c = 4.969 Å, α = 90.00°, β = 90.00° and γ = 90.00°. Symmetry generates all atoms from Mg at (0.000, 0.050, 0.250), Mg at (0.000, 0.428, 0.250) and Br at (0.000, 0.340, 0.750).

***

(2)
A relaxed structure of CsScBe2S. Source: the Alexandria database, functional PBE.

As for the total energy: -14.98 eV for the cell shown.

It has space group P4/mmm (No. 123), with a = 4.856 Å, b = 4.856 Å, c = 4.920 Å, α = 90.00°, β = 90.00° and γ = 90.00°. Symmetry generates all atoms from Cs at (0.000, 0.000, 0.000), Sc at (0.500, 0.500, 0.000), Be at (0.000, 0.500, 0.500) and S at (0.500, 0.500, 0.500).

***

The N(E_F) results, record by record, are as follows: 4.27; 5.93 states/eV per cell.
The formation energy (no corrections) results, record by record, are as follows: -42.1; 73.1 kJ/mol of atoms.
The total magnetic moment results, record by record, are as follows: 0.0; 0.0 μB/cell.